Record 1
The following is a PBE-GGA calculation of an optimized crystal structure of Sr3Li2NpO6, from the Alexandria database.

Computed properties:
Total energy in eV/atom: -6.746

Geometry as CIF:
```
data_Sr3Li2NpO6
_cell_length_a 5.9336
_cell_length_b 5.9336
_cell_length_c 6.7033
_cell_angle_alpha 90.00
_cell_angle_beta 90.00
_cell_angle_gamma 120.00
_symmetry_space_group_name_H-M 'P -3 m 1'
_symmetry_Int_Tables_number 164
_symmetry_space_group_name_Hall '-P 3 2"'
loop_
_atom_site_label
_atom_site_fract_x
_atom_site_fract_y
_atom_site_fract_z
Sr1 0.0000 0.0000 0.0000
Sr2 0.3333 0.6667 0.6216
Li1 0.3333 0.6667 0.1922
Np1 0.0000 0.0000 0.5000
O1 0.1662 0.3324 0.3112
```

Record 2
The following is a PBE-GGA calculation of an optimized crystal structure of Sr2LiNpO4, from the Alexandria database.

Computed properties:
Total energy in eV/atom: -7.198

Geometry as CIF:
```
data_Sr2LiNpO4
_cell_length_a 5.942
_cell_length_b 3.586
_cell_length_c 6.046
_cell_angle_alpha 90.00
_cell_angle_beta 107.63
_cell_angle_gamma 90.00
_symmetry_space_group_name_H-M 'P 1 2/m 1'
_symmetry_Int_Tables_number 10
_symmetry_space_group_name_Hall '-P 2y'
loop_
_atom_site_label
_atom_site_fract_x
_atom_site_fract_y
_atom_site_fract_z
Sr1 0.000 0.000 0.000
Sr2 0.500 0.500 0.000
Li1 0.000 0.500 0.500
Np1 0.500 0.000 0.500
O1 0.257 0.500 0.276
O2 0.268 0.000 0.734
```

Record 3
The following is a PBE-GGA calculation of an optimized crystal structure of SrLi2Np2O7, from the Alexandria database.

Computed properties:
Total energy in eV/atom: -8.242

Geometry as CIF:
```
data_SrLi2Np2O7
_cell_length_a 4.271
_cell_length_b 4.271
_cell_length_c 18.767
_cell_angle_alpha 90.00
_cell_angle_beta 90.00
_cell_angle_gamma 90.00
_symmetry_space_group_name_H-M 'I 4/m m m'
_symmetry_Int_Tables_number 139
_symmetry_space_group_name_Hall '-I 4 2'
loop_
_atom_site_label
_atom_site_fract_x
_atom_site_fract_y
_atom_site_fract_z
Sr1 0.000 0.000 0.000
Li1 0.000 0.500 0.250
Np1 0.000 0.000 0.386
O1 0.000 0.000 0.277
O2 0.000 0.000 0.500
O3 0.000 0.500 0.101
```

no.,magnetic moment (μB/cell)
1,2.3
2,4.0
3,8.0